Record 1
# Cd3HgRh PBE relaxed
# E: -9.62 eV/cell
# Energy relative to the elements: 0.156 eV/atom
# Size of the total moment: 0.0 μB/f.u.
# Polymorph energy (0 for the lowest one): 202.5 meV per atom
data_Cd3HgRh
_cell_length_a 5.218
_cell_length_b 5.218
_cell_length_c 5.218
_cell_angle_alpha 90.00
_cell_angle_beta 90.00
_cell_angle_gamma 90.00
_symmetry_space_group_name_H-M 'P m -3 m'
_symmetry_Int_Tables_number 221
_symmetry_space_group_name_Hall '-P 4 2 3'
loop_
_atom_site_label
_atom_site_fract_x
_atom_site_fract_y
_atom_site_fract_z
_atom_site_occupancy
Cd1 0.000 0.000 0.500 1
Hg1 0.500 0.500 0.500 1
Rh1 0.000 0.000 0.000 1

Record 2
# CdHg3Rh PBE relaxed
# E: -8.07 eV/cell
# Energy relative to the elements: 0.221 eV/atom
# Size of the total moment: 0.0 μB/f.u.
# Polymorph energy (0 for the lowest one): 0.0 meV per atom
data_CdHg3Rh
_cell_length_a 5.276
_cell_length_b 5.276
_cell_length_c 5.276
_cell_angle_alpha 90.00
_cell_angle_beta 90.00
_cell_angle_gamma 90.00
_symmetry_space_group_name_H-M 'P m -3 m'
_symmetry_Int_Tables_number 221
_symmetry_space_group_name_Hall '-P 4 2 3'
loop_
_atom_site_label
_atom_site_fract_x
_atom_site_fract_y
_atom_site_fract_z
_atom_site_occupancy
Cd1 0.000 0.000 0.000 1
Hg1 0.000 0.500 0.500 1
Rh1 0.500 0.500 0.500 1

Record 3
# CdHg2Rh PBE relaxed
# E: -17.06 eV/cell
# Energy relative to the elements: 0.085 eV/atom
# Size of the total moment: 0.0 μB/f.u.
data_CdHg2Rh
_cell_length_a 4.123
_cell_length_b 4.123
_cell_length_c 9.096
_cell_angle_alpha 90.00
_cell_angle_beta 90.00
_cell_angle_gamma 90.00
_symmetry_space_group_name_H-M 'I -4 m 2'
_symmetry_Int_Tables_number 119
_symmetry_space_group_name_Hall 'I -4 -2'
loop_
_atom_site_label
_atom_site_fract_x
_atom_site_fract_y
_atom_site_fract_z
_atom_site_occupancy
Cd1 0.000 0.000 0.000 1
Hg1 0.000 0.000 0.500 1
Hg2 0.000 0.500 0.750 1
Rh1 0.000 0.500 0.250 1

Record 4
# CdHgRh PBE relaxed
# E: -16.97 eV/cell
# Energy relative to the elements: 0.028 eV/atom
# Size of the total moment: 0.0 μB/f.u.
# Polymorph energy (0 for the lowest one): 119.5 meV per atom
data_CdHgRh
_cell_length_a 3.185
_cell_length_b 3.185
_cell_length_c 11.177
_cell_angle_alpha 90.00
_cell_angle_beta 90.00
_cell_angle_gamma 90.00
_symmetry_space_group_name_H-M 'I 4 m m'
_symmetry_Int_Tables_number 107
_symmetry_space_group_name_Hall 'I 4 -2'
loop_
_atom_site_label
_atom_site_fract_x
_atom_site_fract_y
_atom_site_fract_z
_atom_site_occupancy
Cd1 0.000 0.000 0.000 1
Hg1 0.000 0.000 0.303 1
Rh1 0.000 0.000 0.649 1